Material: LiGe2MoO8
Method: DFT, GGA+U
State: optimized geometry

It has space group Cmmm (No. 65), with a = 6.4816 Å, b = 6.6155 Å, c = 5.8516 Å, α = 90.00°, β = 90.00° and γ = 90.00°. The asymmetric unit holds Li at (0.0000, 0.0000, 0.0000), Ge at (0.0000, 0.5000, 0.2424), Mo at (0.0000, 0.0000, 0.5000), O at (0.0000, 0.3084, 0.5000), O at (0.0000, 0.3118, 0.0000) and O at (0.2055, 0.0000, 0.2684).

The final energy comes out at -6.286 eV/atom. The density of states at the Fermi level is 11.504 states/eV/cell. For the total magnetization, the calculation gives 0.87 μB per formula unit.